# 1
The following is a DFT calculation (PBE) of a geometry-optimized Pm2NdSm4Th structure.

Computed properties:
ΔH_f (0 K) = 28.0 meV per atom

Cell lengths 6.288, 3.639, 12.053 Å; angles 90.00, 100.19, 90.00 degrees
Sites, in units of the cell vectors:
Pm 0.000 0.000 0.000
Pm 0.000 0.500 0.500
Nd 0.500 0.000 0.500
Sm 0.253 0.500 0.248
Sm 0.257 0.000 0.755
Sm 0.743 0.000 0.245
Sm 0.747 0.500 0.752
Th 0.500 0.500 0.000

# 2
The following is a DFT calculation (PBE) of a geometry-optimized PmNd2SmTl4 structure.

Computed properties:
ΔH_f (0 K) = -384.6 meV per atom

Cell lengths 9.529, 9.529, 9.529 Å; angles 33.53, 33.53, 33.53 degrees
Sites, in units of the cell vectors:
Pm 0.000 0.000 0.000
Nd 0.250 0.250 0.250
Nd 0.750 0.750 0.750
Sm 0.500 0.500 0.500
Tl 0.125 0.125 0.125
Tl 0.375 0.375 0.375
Tl 0.625 0.625 0.625
Tl 0.875 0.875 0.875

# 3
The following is a DFT calculation (PBE) of a geometry-optimized PmNd2SmTl2 structure.

Computed properties:
ΔH_f (0 K) = -273.0 meV per atom

Cell lengths 5.263, 10.305, 6.913 Å; angles 90.00, 90.00, 90.00 degrees
Sites, in units of the cell vectors:
Pm 0.000 0.043 0.000
Pm 0.000 0.957 0.500
Nd 0.000 0.316 0.364
Nd 0.000 0.684 0.864
Nd 0.500 0.457 0.094
Nd 0.500 0.543 0.594
Sm 0.500 0.184 0.726
Sm 0.500 0.816 0.226
Tl 0.000 0.360 0.836
Tl 0.000 0.640 0.336
Tl 0.500 0.133 0.256
Tl 0.500 0.867 0.756